# 1
# YZrSc2 GGA-PBE relaxed
# energy relative to the lowest polymorph listed for this composition	0.047	eV per atom
# calculated total energy	-54.758	eV for the cell shown
# ΔH_f (0 K)	7.2	kJ/mol of atoms
# magnetization	0.000	μB per formula unit
data_YZrSc2
_cell_length_a 10.830
_cell_length_b 3.305
_cell_length_c 5.829
_cell_angle_alpha 90.00
_cell_angle_beta 99.68
_cell_angle_gamma 90.00
_symmetry_space_group_name_H-M 'C 1 2/m 1'
_symmetry_Int_Tables_number 12
_symmetry_space_group_name_Hall '-C 2y'
loop_
_atom_site_label
_atom_site_fract_x
_atom_site_fract_y
_atom_site_fract_z
_atom_site_occupancy
Y1 0.000 0.000 0.000 1
Zr1 0.000 0.500 0.500 1
Sc1 0.244 0.000 0.732 1

# 2
# YZr2Sc GGA-PBE relaxed
# energy relative to the lowest polymorph listed for this composition	0.058	eV per atom
# calculated total energy	-59.089	eV for the cell shown
# ΔH_f (0 K)	8.4	kJ/mol of atoms
# magnetization	0.000	μB per formula unit
data_YZr2Sc
_cell_length_a 4.618
_cell_length_b 4.618
_cell_length_c 9.406
_cell_angle_alpha 90.00
_cell_angle_beta 90.00
_cell_angle_gamma 90.00
_symmetry_space_group_name_H-M 'I 4/m m m'
_symmetry_Int_Tables_number 139
_symmetry_space_group_name_Hall '-I 4 2'
loop_
_atom_site_label
_atom_site_fract_x
_atom_site_fract_y
_atom_site_fract_z
_atom_site_occupancy
Y1 0.000 0.000 0.000 1
Zr1 0.000 0.500 0.250 1
Sc1 0.000 0.000 0.500 1

# 3
# YZrSc2 GGA-PBE relaxed
# energy relative to the lowest polymorph listed for this composition	0.000	eV per atom
# calculated total energy	-110.261	eV for the cell shown
# ΔH_f (0 K)	2.7	kJ/mol of atoms
# magnetization	0.000	μB per formula unit
data_YZrSc2
_cell_length_a 15.383
_cell_length_b 3.298
_cell_length_c 8.267
_cell_angle_alpha 90.00
_cell_angle_beta 95.89
_cell_angle_gamma 90.00
_symmetry_space_group_name_H-M 'C 1 2/m 1'
_symmetry_Int_Tables_number 12
_symmetry_space_group_name_Hall '-C 2y'
loop_
_atom_site_label
_atom_site_fract_x
_atom_site_fract_y
_atom_site_fract_z
_atom_site_occupancy
Y1 0.148 0.000 0.437 1
Zr1 0.090 0.000 0.058 1
Sc1 0.040 0.500 0.729 1
Sc2 0.234 0.000 0.831 1

# 4
# YZrSc2 GGA-PBE relaxed
# energy relative to the lowest polymorph listed for this composition	0.127	eV per atom
# calculated total energy	-27.055	eV for the cell shown
# ΔH_f (0 K)	15.0	kJ/mol of atoms
# magnetization	0.001	μB per formula unit
data_YZrSc2
_cell_length_a 3.231
_cell_length_b 5.373
_cell_length_c 5.988
_cell_angle_alpha 90.00
_cell_angle_beta 95.42
_cell_angle_gamma 90.00
_symmetry_space_group_name_H-M 'P 1 2/m 1'
_symmetry_Int_Tables_number 10
_symmetry_space_group_name_Hall '-P 2y'
loop_
_atom_site_label
_atom_site_fract_x
_atom_site_fract_y
_atom_site_fract_z
_atom_site_occupancy
Y1 0.000 0.000 0.000 1
Zr1 0.500 0.000 0.500 1
Sc1 0.291 0.500 0.730 1

# 5
# YZr2Sc GGA-PBE relaxed
# energy relative to the lowest polymorph listed for this composition	0.056	eV per atom
# calculated total energy	-59.107	eV for the cell shown
# ΔH_f (0 K)	8.2	kJ/mol of atoms
# magnetization	0.000	μB per formula unit
data_YZr2Sc
_cell_length_a 10.967
_cell_length_b 3.265
_cell_length_c 5.689
_cell_angle_alpha 90.00
_cell_angle_beta 99.44
_cell_angle_gamma 90.00
_symmetry_space_group_name_H-M 'C 1 2/m 1'
_symmetry_Int_Tables_number 12
_symmetry_space_group_name_Hall '-C 2y'
loop_
_atom_site_label
_atom_site_fract_x
_atom_site_fract_y
_atom_site_fract_z
_atom_site_occupancy
Y1 0.000 0.000 0.000 1
Zr1 0.247 0.000 0.734 1
Sc1 0.000 0.500 0.500 1

# 6
# YZrSc4 GGA-PBE relaxed
# energy relative to the lowest polymorph listed for this composition	0.000	eV per atom
# calculated total energy	-80.735	eV for the cell shown
# ΔH_f (0 K)	-0.5	kJ/mol of atoms
# magnetization	0.000	μB per formula unit
data_YZrSc4
_cell_length_a 5.195
_cell_length_b 3.339
_cell_length_c 17.548
_cell_angle_alpha 90.00
_cell_angle_beta 90.00
_cell_angle_gamma 90.00
_symmetry_space_group_name_H-M 'A m m 2'
_symmetry_Int_Tables_number 38
_symmetry_space_group_name_Hall 'A 2 -2'
loop_
_atom_site_label
_atom_site_fract_x
_atom_site_fract_y
_atom_site_fract_z
_atom_site_occupancy
Y1 0.000 0.000 0.000 1
Zr1 0.500 0.000 0.778 1
Sc1 0.000 0.000 0.329 1
Sc2 0.000 0.000 0.671 1
Sc3 0.500 0.000 0.117 1
Sc4 0.500 0.000 0.436 1

# 7
# YZrSc4 GGA-PBE relaxed
# energy relative to the lowest polymorph listed for this composition	0.283	eV per atom
# calculated total energy	-154.684	eV for the cell shown
# ΔH_f (0 K)	26.8	kJ/mol of atoms
# magnetization	6.682	μB per formula unit
data_YZrSc4
_cell_length_a 8.633
_cell_length_b 8.633
_cell_length_c 8.633
_cell_angle_alpha 90.00
_cell_angle_beta 90.00
_cell_angle_gamma 90.00
_symmetry_space_group_name_H-M 'F -4 3 m'
_symmetry_Int_Tables_number 216
_symmetry_space_group_name_Hall 'F -4 2 3'
loop_
_atom_site_label
_atom_site_fract_x
_atom_site_fract_y
_atom_site_fract_z
_atom_site_occupancy
Y1 0.000 0.000 0.000 1
Zr1 0.250 0.250 0.750 1
Sc1 0.125 0.125 0.375 1

# 8
# Y2ZrSc6 GGA-PBE relaxed
# energy relative to the lowest polymorph listed for this composition	0.000	eV per atom
# calculated total energy	-59.069	eV for the cell shown
# ΔH_f (0 K)	4.3	kJ/mol of atoms
# magnetization	0.000	μB per formula unit
data_Y2ZrSc6
_cell_length_a 9.0210
_cell_length_b 9.0210
_cell_length_c 3.3009
_cell_angle_alpha 90.00
_cell_angle_beta 90.00
_cell_angle_gamma 120.00
_symmetry_space_group_name_H-M 'P -6 2 m'
_symmetry_Int_Tables_number 189
_symmetry_space_group_name_Hall 'P -6 -2'
loop_
_atom_site_label
_atom_site_fract_x
_atom_site_fract_y
_atom_site_fract_z
_atom_site_occupancy
Y1 0.3333 0.6667 0.0000 1
Zr1 0.0000 0.0000 0.5000 1
Sc1 0.0000 0.3422 0.5000 1
Sc2 0.0000 0.7038 0.0000 1

Q: Among the records above, which one has the highest calculated total energy?
A: number 4

Q: Look up the calculated total energy of the sixth one.
A: -80.735 eV for the cell shown